[1]
Compound: BaSr3In3
Source: Alexandria via LeMat-Bulk
Functional: PBE-GGA
Structure: optimized geometry

Lattice parameters (Å, degrees): 11.6826 11.6826 7.0737 90.00 90.00 120.00
Last column: nearest neighbours and their distance in Å.
Space group R3m (No. 160, hexagonal axes)
One atom of each set of equivalent atoms:
1 Ba 0.0000 0.0000 0.0000 [3 per cell]  6 In 3.57
2 Sr 0.9998 0.4999 0.9991 [9 per cell]  6 In 3.54-3.57
3 In 0.0001 0.5001 0.4991 [9 per cell]  6 Sr 3.54-3.57, 2 Ba 3.57

Its volume is 836.1 Å³/cell. As for the energy of formation from the pure elements: -0.338 eV/atom. The calculated total energy is -2.5074 eV/atom.

---

[2]
Compound: AcZnCd2
Source: Alexandria via LeMat-Bulk
Functional: PBE-GGA
Structure: optimized geometry

Lattice parameters (Å, degrees): 7.1074 5.0930 11.4522 90.00 90.00 90.00
Last column: nearest neighbours and their distance in Å.
Space group Amm2 (No. 38)
One atom of each set of equivalent atoms:
1 Ac 0.0000 0.0000 0.0000 [2 per cell]  7 Cd 3.33-3.43, 2 Zn 3.41
2 Ac 0.5000 0.0000 0.2034 [2 per cell]  11 Cd 3.38-3.78, 4 Zn 3.40
3 Zn 0.1841 0.0000 0.7247 [4 per cell]  1 Zn 2.62, 1 Cd 2.78
4 Cd 0.0000 0.0000 0.2989 [2 per cell]  4 Zn 2.99, 2 Cd 3.09
5 Cd 0.3016 0.0000 0.4931 [4 per cell]  1 Zn 2.78, 4 Cd 2.82-3.11
6 Cd 0.5000 0.0000 0.8974 [2 per cell]  2 Zn 2.99, 4 Cd 3.11

Its volume is 414.5 Å³/cell. As for the energy of formation from the pure elements: -0.276 eV/atom. The calculated total energy is -2.0793 eV/atom.

---

[3]
Compound: YIn2TeIr
Source: Alexandria via LeMat-Bulk
Functional: PBE-GGA
Structure: optimized geometry

Lattice parameters (Å, degrees): 5.1626 5.1626 5.3647 90.00 90.00 90.00
Last column: nearest neighbours and their distance in Å.
Space group P4/mmm (No. 123)
One atom of each set of equivalent atoms:
1 Y 0.0000 0.0000 0.0000 [1 per cell]  2 Ir 2.68
2 In 0.0000 0.5000 0.5000 [2 per cell]  2 Ir 2.58
3 Te 0.5000 0.5000 0.0000 [1 per cell]  4 Y 3.65, 8 In 3.72
4 Ir 0.0000 0.0000 0.5000 [1 per cell]  4 In 2.58, 2 Y 2.68

Its volume is 143.0 Å³/cell. The calculated total energy is -5.2812 eV/atom. The uncorrected formation energy comes out at -493 meV/atom.

---

[4]
Compound: Na2Ta2Bi
Source: Alexandria via LeMat-Bulk
Functional: PBE-GGA
Structure: optimized geometry

Lattice parameters (Å, degrees): 3.6374 3.6374 21.9137 90.00 90.00 90.00
Last column: nearest neighbours and their distance in Å.
Space group I4/mmm (No. 139)
One atom of each set of equivalent atoms:
1 Na 0.0000 0.0000 0.1104 [4 per cell]  4 Bi 3.53, 4 Ta 3.56, 4 Na 3.64
2 Ta 0.0000 0.5000 0.2500 [4 per cell]  4 Ta 2.57
3 Bi 0.0000 0.0000 0.5000 [2 per cell]  8 Na 3.53, 4 Bi 3.64

Its volume is 289.9 Å³/cell. As for the energy of formation from the pure elements: 0.674 eV/atom. The calculated total energy is -5.3713 eV/atom. The calculation puts the excess energy over the best structure of this formula in the dataset at 0 meV per atom.

---

[5]
Compound: Tm2CdF
Source: Alexandria via LeMat-Bulk
Functional: PBE-GGA
Structure: optimized geometry

Lattice parameters (Å, degrees): 3.3089 3.3089 29.6346 90.00 90.00 120.00
Last column: nearest neighbours and their distance in Å.
Space group R-3m (No. 166, hexagonal axes)
One atom of each set of equivalent atoms:
1 Tm 0.0000 0.0000 0.1058 [6 per cell]  3 F 2.63
2 Cd 0.0000 0.0000 0.0000 [3 per cell]  2 Tm 3.14, 6 Cd 3.31
3 F 0.0000 0.0000 0.5000 [3 per cell]  6 Tm 2.63

Its volume is 281.0 Å³/cell. The calculated total energy is -3.7725 eV/atom. The uncorrected formation energy comes out at -840 meV/atom.

---

[6]
Compound: TaTeRu2
Source: Alexandria via LeMat-Bulk
Functional: PBE-GGA
Structure: optimized geometry

Lattice parameters (Å, degrees): 3.2112 4.5092 9.2768 90.00 90.00 90.00
Last column: nearest neighbours and their distance in Å.
Space group Imm2 (No. 44)
One atom of each set of equivalent atoms:
1 Ta 0.0000 0.0000 0.0000 [2 per cell]  6 Ru 2.78-2.82, 2 Te 2.84
2 Te 0.0000 0.5000 0.7521 [2 per cell]  6 Ru 2.61-2.77, 2 Ta 2.84
3 Ru 0.0000 0.0000 0.4744 [2 per cell]  2 Te 2.61, 4 Ta 2.78
4 Ru 0.0000 0.5000 0.2506 [2 per cell]  4 Te 2.77, 2 Ta 2.82, 4 Ru 3.02-3.06

Its volume is 134.3 Å³/cell. The calculated total energy is -8.2594 eV/atom. The uncorrected formation energy comes out at 127 meV/atom.

---

[7]
Compound: AlAgPb
Source: Alexandria via LeMat-Bulk
Functional: PBE-GGA
Structure: optimized geometry

Lattice parameters (Å, degrees): 3.4207 5.9700 6.7803 90.00 104.30 90.00
Last column: nearest neighbours and their distance in Å.
Space group P2_1/m (No. 11)
One atom of each set of equivalent atoms:
1 Al 0.1137 0.2500 0.2313 [2 per cell]  4 Ag 2.73
2 Ag 0.5000 0.0000 0.0000 [2 per cell]  4 Al 2.73, 2 Ag 2.98
3 Pb 0.1789 0.7500 0.3655 [2 per cell]  4 Al 3.11-3.17, 4 Ag 3.30, 2 Pb 3.42

Its volume is 134.2 Å³/cell. As for the energy of formation from the pure elements: 0.104 eV/atom. The calculated total energy is -3.3304 eV/atom.

---

[8]
Compound: ZnCdP2
Source: Alexandria via LeMat-Bulk
Functional: PBE-GGA
Structure: optimized geometry

Lattice parameters (Å, degrees): 3.7570 5.1372 7.4781 90.00 90.00 90.00
Last column: nearest neighbours and their distance in Å.
Space group Cmmm (No. 65)
One atom of each set of equivalent atoms:
1 Zn 0.0000 0.0000 0.0000 [2 per cell]  4 P 2.52
2 Cd 0.0000 0.0000 0.5000 [2 per cell]  4 P 2.78
3 P 0.0000 0.5000 0.2254 [4 per cell]  2 Zn 2.52, 2 Cd 2.78

Its volume is 144.3 Å³/cell. As for the energy of formation from the pure elements: 0.404 eV/atom. The calculated total energy is -2.8486 eV/atom. The calculation puts the excess energy over the best structure of this formula in the dataset at 343 meV per atom.